## Co5P8O28 (GGA+U)

Data for crystalline Co5P8O28 at its relaxed geometry. Values from VASP.

```
&SYSTEM
  ibrav = 0, nat = 41, ntyp = 3
/
ATOMIC_SPECIES
Co 58.93 Co.upf
P 30.97 P.upf
O 16.00 O.upf
CELL_PARAMETERS angstrom
7.538 0.000 0.000
0.427 7.775 0.000
0.286 3.375 9.686
ATOMIC_POSITIONS crystal
Co 0.000 0.000 0.000
Co 0.236 0.375 0.394
Co 0.267 0.331 0.935
Co 0.733 0.669 0.065
Co 0.764 0.625 0.606
P 0.038 0.256 0.690
P 0.199 0.053 0.259
P 0.337 0.707 0.978
P 0.347 0.690 0.694
P 0.653 0.310 0.306
P 0.663 0.293 0.022
P 0.801 0.947 0.741
P 0.962 0.744 0.310
O 0.031 0.929 0.320
O 0.114 0.200 0.839
O 0.119 0.606 0.329
O 0.161 0.213 0.314
O 0.163 0.129 0.098
O 0.184 0.837 0.990
O 0.186 0.311 0.582
O 0.230 0.527 0.763
O 0.257 0.842 0.582
O 0.281 0.509 0.032
O 0.372 0.947 0.293
O 0.399 0.761 0.821
O 0.475 0.383 0.351
O 0.497 0.742 0.056
O 0.503 0.258 0.944
O 0.525 0.617 0.649
O 0.601 0.239 0.179
O 0.628 0.053 0.707
O 0.719 0.491 0.968
O 0.743 0.158 0.418
O 0.770 0.473 0.237
O 0.814 0.689 0.418
O 0.816 0.163 0.010
O 0.837 0.871 0.902
O 0.839 0.787 0.686
O 0.881 0.394 0.671
O 0.886 0.800 0.161
O 0.969 0.071 0.680
```

Results
For the total energy, the calculation gives -6.743 eV per atom. The total magnetic moment comes out at 21.0 μB/cell.